An optimized crystal structure of Ba3LiPt2O8, computed with PBE-GGA.

Lattice parameters (Å, degrees): 5.721 5.721 8.036 90.00 90.00 120.00
Element x y z (fractional)
Ba1 0.000 0.000 0.000
Ba2 0.333 0.667 0.622
Ba3 0.667 0.333 0.378
Li1 0.000 0.000 0.500
Pt1 0.333 0.667 0.183
Pt2 0.667 0.333 0.817
O1 0.173 0.346 0.331
O2 0.173 0.827 0.331
O3 0.333 0.667 0.952
O4 0.346 0.173 0.669
O5 0.654 0.827 0.331
O6 0.667 0.333 0.048
O7 0.827 0.173 0.669
O8 0.827 0.654 0.669

Properties
Uncorrected energy   -5.60 eV per atom
D(E_F)   9.6 states/eV/f.u.
Size of the total moment   0.048 μB/atom
Raw formation energy   -19.00 eV per formula unit
V   16.27 A^3/atom